<A>
LiTmCd2 | PBE-GGA | relaxed

a b c (Å): 7.0791 7.0791 7.0791
angles (deg): 90.00 90.00 90.00
Last column: nearest neighbours and their distance in Å.
Space group Fm-3m (No. 225)
Unique sites:
Li: 0.0000 0.0000 0.0000 [4 per cell]  8 Cd 3.07
Tm: 0.0000 0.0000 0.5000 [4 per cell]  8 Cd 3.07
Cd: 0.2500 0.2500 0.2500 [8 per cell]  4 Tm 3.07, 4 Li 3.07

<B>
LiTmCd2 | PBE-GGA | relaxed

a b c (Å): 3.3855 3.3855 28.5895
angles (deg): 90.00 90.00 120.00
Last column: nearest neighbours and their distance in Å.
Space group R3m (No. 160, hexagonal axes)
Unique sites:
Li: 0.0000 0.0000 0.0000 [3 per cell]  6 Cd 2.91-2.96
Tm: 0.0000 0.0000 0.1685 [3 per cell]  6 Cd 3.22-3.24, 6 Tm 3.39
Cd: 0.0000 0.0000 0.4113 [3 per cell]  3 Li 2.96, 3 Tm 3.24
Cd: 0.0000 0.0000 0.5913 [3 per cell]  3 Li 2.91, 3 Tm 3.22

Which one sits at the top of the stability order? <A> does.

<A>
LiTmCd2 | PBE-GGA | relaxed

a b c (Å): 3.4189 3.4189 7.4614
angles (deg): 90.00 90.00 90.00
Last column: nearest neighbours and their distance in Å.
Space group P4/mmm (No. 123)
Unique sites:
Li: 0.0000 0.0000 0.0000 [1 per cell]  8 Cd 2.90
Tm: 0.0000 0.0000 0.5000 [1 per cell]  8 Cd 3.22, 4 Tm 3.42
Cd: 0.5000 0.5000 0.2149 [2 per cell]  4 Li 2.90, 1 Cd 3.21, 4 Tm 3.22

<B>
LiTmCd2 | PBE-GGA | relaxed

a b c (Å): 5.2097 5.2097 3.4267
angles (deg): 90.00 90.00 90.00
Last column: nearest neighbours and their distance in Å.
Space group P4/mmm (No. 123)
Unique sites:
Li: 0.0000 0.0000 0.0000 [1 per cell]  8 Cd 3.12, 2 Li 3.43
Tm: 0.5000 0.5000 0.0000 [1 per cell]  8 Cd 3.12, 2 Tm 3.43
Cd: 0.0000 0.5000 0.5000 [2 per cell]  4 Li 3.12, 4 Tm 3.12, 2 Cd 3.43

Which one sits at the top of the stability order? <A> does.

<A>
Li2TmCd | PBE-GGA | relaxed

a b c (Å): 3.5305 3.5305 6.8852
angles (deg): 90.00 90.00 90.00
Last column: nearest neighbours and their distance in Å.
Space group P4/mmm (No. 123)
Unique sites:
Li: 0.0000 0.0000 0.2055 [2 per cell]  1 Li 2.83, 4 Cd 2.87
Tm: 0.5000 0.5000 0.5000 [1 per cell]  8 Li 3.22, 2 Cd 3.44, 4 Tm 3.53
Cd: 0.5000 0.5000 0.0000 [1 per cell]  8 Li 2.87

<B>
Li2TmCd | PBE-GGA | relaxed

a b c (Å): 6.8530 6.8530 6.8530
angles (deg): 90.00 90.00 90.00
Last column: nearest neighbours and their distance in Å.
Space group Fm-3m (No. 225)
Unique sites:
Li: 0.2500 0.2500 0.2500 [8 per cell]  4 Cd 2.97, 4 Tm 2.97
Tm: 0.0000 0.0000 0.0000 [4 per cell]  8 Li 2.97
Cd: 0.0000 0.0000 0.5000 [4 per cell]  8 Li 2.97

Which one sits at the top of the stability order? <B> does.

<A>
Li2Tm3Cd7 | PBE-GGA | relaxed

a b c (Å): 5.0146 5.0943 11.2613
angles (deg): 90.00 97.27 90.00
Last column: nearest neighbours and their distance in Å.
Space group P2/m (No. 10)
Unique sites:
Li: 0.0989 0.0000 0.2944 [2 per cell]  6 Cd 2.74-2.94
Tm: 0.0000 0.0000 0.0000 [1 per cell]  8 Cd 3.12-3.15, 2 Li 3.29
Tm: 0.4397 0.5000 0.6690 [2 per cell]  6 Cd 2.99-3.18
Cd: 0.0252 0.5000 0.1637 [2 per cell]  2 Li 2.94, 2 Cd 3.02-3.19, 4 Tm 3.08-3.18
Cd: 0.2632 0.0000 0.5429 [2 per cell]  2 Cd 2.68-2.69, 2 Li 2.74-2.82, 2 Tm 2.99
Cd: 0.4488 0.0000 0.8313 [2 per cell]  2 Li 2.82-2.93, 4 Tm 3.12-3.15
Cd: 0.5000 0.5000 0.0000 [1 per cell]  8 Cd 3.02-3.19

<B>
Li2Tm3Cd7 | PBE-GGA | relaxed

a b c (Å): 4.9434 30.2322 3.6999
angles (deg): 90.00 90.00 90.00
Last column: nearest neighbours and their distance in Å.
Space group Cmmm (No. 65)
Unique sites:
Li: 0.0000 0.1401 0.0000 [4 per cell]  5 Cd 2.59-2.87
Tm: 0.0000 0.3177 0.5000 [4 per cell]  8 Cd 3.30-3.36, 4 Li 3.34
Tm: 0.0000 0.5000 0.5000 [2 per cell]  12 Cd 3.09-3.38
Cd: 0.0000 0.0000 0.0000 [2 per cell]  4 Cd 2.95, 4 Tm 3.09
Cd: 0.0000 0.0762 0.5000 [4 per cell]  2 Li 2.67, 2 Cd 2.95
Cd: 0.0000 0.2258 0.0000 [4 per cell]  1 Li 2.59, 2 Cd 2.87
Cd: 0.0000 0.4081 0.0000 [4 per cell]  2 Li 2.87, 4 Cd 3.12

Which one sits at the top of the stability order? <B> does.

<A>
Li2TmCd2 | PBE-GGA | relaxed

a b c (Å): 18.0618 3.4489 3.4514
angles (deg): 90.00 100.79 90.00
Last column: nearest neighbours and their distance in Å.
Space group C2/m (No. 12)
Unique sites:
Li: 0.2035 0.0000 0.2020 [4 per cell]  5 Cd 2.87-3.16, 4 Li 2.94-2.95
Tm: 0.0000 0.0000 0.0000 [2 per cell]  8 Cd 3.22, 4 Tm 3.45
Cd: 0.1183 0.5000 0.6169 [4 per cell]  5 Li 2.87-3.16

<B>
Li2TmCd2 | PBE-GGA | relaxed

a b c (Å): 8.0728 8.0728 3.1621
angles (deg): 90.00 90.00 90.00
Last column: nearest neighbours and their distance in Å.
Space group P4/mbm (No. 127)
Unique sites:
Li: 0.1165 0.3835 0.0000 [4 per cell]  1 Li 2.66, 6 Cd 2.79-2.93
Tm: 0.0000 0.0000 0.0000 [2 per cell]  2 Tm 3.16, 4 Li 3.24, 8 Cd 3.35
Cd: 0.1819 0.6819 0.5000 [4 per cell]  6 Li 2.79-2.93

Which one sits at the top of the stability order? <A> does.

<A>
LiTmCd | PBE-GGA | relaxed

a b c (Å): 4.9559 4.9559 3.2045
angles (deg): 90.00 90.00 120.00
Last column: nearest neighbours and their distance in Å.
Space group P-6m2 (No. 187)
Unique sites:
Li: 0.0000 0.0000 0.0000 [1 per cell]  3 Cd 2.86, 2 Li 3.20
Tm: 0.6667 0.3333 0.5000 [1 per cell]  2 Tm 3.20, 6 Li 3.28, 6 Cd 3.28
Cd: 0.3333 0.6667 0.0000 [1 per cell]  3 Li 2.86, 2 Cd 3.20

<B>
LiTmCd | PBE-GGA | relaxed

a b c (Å): 3.7154 3.7154 9.9097
angles (deg): 90.00 90.00 90.00
Last column: nearest neighbours and their distance in Å.
Space group I4mm (No. 107)
Unique sites:
Li: 0.0000 0.0000 0.0000 [2 per cell]  4 Cd 2.95, 5 Tm 3.12-3.21
Tm: 0.0000 0.0000 0.3144 [2 per cell]  5 Li 3.12-3.21, 5 Cd 3.17-3.18
Cd: 0.0000 0.0000 0.6358 [2 per cell]  4 Li 2.95, 5 Tm 3.17-3.18

Which one sits at the top of the stability order? <A> does.

<A>
LiV3Cd | PBE-GGA | relaxed

a b c (Å): 5.1284 5.1284 5.1284
angles (deg): 90.00 90.00 90.00
Last column: nearest neighbours and their distance in Å.
Space group Pm-3m (No. 221)
Unique sites:
Li: 0.0000 0.0000 0.0000 [1 per cell]  12 V 3.63
V: 0.0000 0.5000 0.5000 [3 per cell]  2 Cd 2.56
Cd: 0.5000 0.5000 0.5000 [1 per cell]  6 V 2.56

<B>
LiV3Cd | PBE-GGA | relaxed

a b c (Å): 4.2315 4.2315 4.2315
angles (deg): 90.00 90.00 90.00
Last column: nearest neighbours and their distance in Å.
Space group Pm-3m (No. 221)
Unique sites:
Li: 0.0000 0.0000 0.0000 [1 per cell]  6 V 2.12
V: 0.0000 0.0000 0.5000 [3 per cell]  2 Li 2.12
Cd: 0.5000 0.5000 0.5000 [1 per cell]  12 V 2.99

Which one sits at the top of the stability order? <B> does.

<A>
LiVCd2 | PBE-GGA | relaxed

a b c (Å): 6.6790 6.6790 6.6790
angles (deg): 90.00 90.00 90.00
Last column: nearest neighbours and their distance in Å.
Space group Fm-3m (No. 225)
Unique sites:
Li: 0.0000 0.0000 0.0000 [4 per cell]  8 Cd 2.89
V: 0.0000 0.0000 0.5000 [4 per cell]  8 Cd 2.89
Cd: 0.2500 0.2500 0.2500 [8 per cell]  4 Li 2.89, 4 V 2.89

<B>
LiVCd2 | PBE-GGA | relaxed

a b c (Å): 2.8708 2.8708 31.6830
angles (deg): 90.00 90.00 120.00
Last column: nearest neighbours and their distance in Å.
Space group R-3m (No. 166, hexagonal axes)
Unique sites:
Li: 0.0000 0.0000 0.0000 [3 per cell]  6 Li 2.87, 6 Cd 2.95
V: 0.0000 0.0000 0.5000 [3 per cell]  2 Cd 2.84, 6 V 2.87
Cd: 0.0000 0.0000 0.4102 [6 per cell]  1 V 2.84, 6 Cd 2.87, 3 Li 2.95

Which one sits at the top of the stability order? <A> does.